## 1
## SrCa3Cl (PBE-GGA)

Data for SrCa3Cl after structural relaxation.

a b c (Å): 7.2145 7.2145 7.2145
angles (deg): 90.00 90.00 90.00
Sites, in units of the cell vectors:
Sr 0.0000 0.0000 0.0000
Ca 0.0000 0.0000 0.5000
Ca 0.0000 0.5000 0.0000
Ca 0.5000 0.0000 0.0000
Cl 0.5000 0.5000 0.5000

Output
Its density of states at the Fermi level is 8.68 states/eV per cell. Its crystal system is cubic. As for the space-group type: Pm-3m (221).

***

## 2
## SrCa3Cl (PBE-GGA)

Data for SrCa3Cl after structural relaxation.

a b c (Å): 5.8566 5.8566 5.8566
angles (deg): 90.00 90.00 90.00
Sites, in units of the cell vectors:
Sr 0.0000 0.0000 0.0000
Ca 0.0000 0.5000 0.5000
Ca 0.5000 0.0000 0.5000
Ca 0.5000 0.5000 0.0000
Cl 0.5000 0.5000 0.5000

Output
Its density of states at the Fermi level is 5.38 states/eV per cell. Its crystal system is cubic. As for the space-group type: Pm-3m (221).

***

Most stable to least stable, the ends of the list are 2 and 1.

***

## 1
## SrCa2TlCl (PBE-GGA)

Data for SrCa2TlCl after structural relaxation.

a b c (Å): 5.4491 5.4491 6.2874
angles (deg): 90.00 90.00 90.00
Sites, in units of the cell vectors:
Sr 0.0000 0.0000 0.0000
Ca 0.0000 0.5000 0.5000
Ca 0.5000 0.0000 0.5000
Tl 0.5000 0.5000 0.0000
Cl 0.5000 0.5000 0.5000

Output
Its density of states at the Fermi level is 3.84 states/eV per cell. Its crystal system is tetragonal. As for the space-group type: P4/mmm (123).

***

## 2
## SrCa2TlCl (PBE-GGA)

Data for SrCa2TlCl after structural relaxation.

a b c (Å): 7.0835 7.0835 5.3109
angles (deg): 90.00 90.00 90.00
Sites, in units of the cell vectors:
Sr 0.0000 0.0000 0.0000
Ca 0.0000 0.5000 0.0000
Ca 0.5000 0.0000 0.0000
Tl 0.5000 0.5000 0.5000
Cl 0.0000 0.0000 0.5000

Output
Its density of states at the Fermi level is 3.96 states/eV per cell. Its crystal system is tetragonal. As for the space-group type: P4/mmm (123).

***

Most stable to least stable, the ends of the list are 1 and 2.

***

## 1
## CaTaCl2 (PBE-GGA)

Data for CaTaCl2 after structural relaxation.

a b c (Å): 3.1050 6.1999 8.9862
angles (deg): 90.00 90.00 90.00
Sites, in units of the cell vectors:
Ca 0.0000 0.0000 0.0000
Ca 0.5000 0.5000 0.0000
Ta 0.0000 0.0000 0.5000
Ta 0.5000 0.5000 0.5000
Cl 0.0000 0.5000 0.2719
Cl 0.0000 0.5000 0.7281
Cl 0.5000 0.0000 0.2719
Cl 0.5000 0.0000 0.7281

Output
Its density of states at the Fermi level is 6.16 states/eV per cell. Its crystal system is orthorhombic. As for the space-group type: Cmmm (65).

***

## 2
## CaTaCl2 (PBE-GGA)

Data for CaTaCl2 after structural relaxation.

a b c (Å): 3.1619 6.1091 9.2886
angles (deg): 90.00 90.00 90.00
Sites, in units of the cell vectors:
Ca 0.0000 0.0000 0.0000
Ca 0.5000 0.5000 0.5000
Ta 0.0000 0.0000 0.5000
Ta 0.5000 0.5000 0.0000
Cl 0.0000 0.5000 0.2140
Cl 0.0000 0.5000 0.7860
Cl 0.5000 0.0000 0.2860
Cl 0.5000 0.0000 0.7140

Output
Its density of states at the Fermi level is 3.76 states/eV per cell. Its crystal system is orthorhombic. As for the space-group type: Immm (71).

***

## 3
## CaTaCl2 (PBE-GGA)

Data for CaTaCl2 after structural relaxation.

a b c (Å): 6.7454 6.7454 6.7454
angles (deg): 90.00 90.00 90.00
Sites, in units of the cell vectors:
Ca 0.0000 0.0000 0.0000
Ca 0.0000 0.5000 0.5000
Ca 0.5000 0.0000 0.5000
Ca 0.5000 0.5000 0.0000
Ta 0.0000 0.0000 0.5000
Ta 0.0000 0.5000 0.0000
Ta 0.5000 0.0000 0.0000
Ta 0.5000 0.5000 0.5000
Cl 0.2500 0.2500 0.2500
Cl 0.2500 0.2500 0.7500
Cl 0.2500 0.7500 0.2500
Cl 0.2500 0.7500 0.7500
Cl 0.7500 0.2500 0.2500
Cl 0.7500 0.2500 0.7500
Cl 0.7500 0.7500 0.2500
Cl 0.7500 0.7500 0.7500

Output
Its density of states at the Fermi level is 8.14 states/eV per cell. Its crystal system is cubic. As for the space-group type: Fm-3m (225).

***

Most stable to least stable, the ends of the list are 2 and 3.

***

## 1
## CaTa3Cl (PBE-GGA)

Data for CaTa3Cl after structural relaxation.

a b c (Å): 4.9150 4.9150 4.9150
angles (deg): 90.00 90.00 90.00
Sites, in units of the cell vectors:
Ca 0.0000 0.0000 0.0000
Ta 0.0000 0.0000 0.5000
Ta 0.0000 0.5000 0.0000
Ta 0.5000 0.0000 0.0000
Cl 0.5000 0.5000 0.5000

Output
Its density of states at the Fermi level is 7.27 states/eV per cell. Its crystal system is cubic. As for the space-group type: Pm-3m (221).

***

## 2
## CaTa3Cl (PBE-GGA)

Data for CaTa3Cl after structural relaxation.

a b c (Å): 4.6785 4.6785 4.6785
angles (deg): 90.00 90.00 90.00
Sites, in units of the cell vectors:
Ca 0.0000 0.0000 0.0000
Ta 0.0000 0.5000 0.5000
Ta 0.5000 0.0000 0.5000
Ta 0.5000 0.5000 0.0000
Cl 0.5000 0.5000 0.5000

Output
Its density of states at the Fermi level is 7.64 states/eV per cell. Its crystal system is cubic. As for the space-group type: Pm-3m (221).

***

Most stable to least stable, the ends of the list are 2 and 1.

***

## 1
## CaTc2Cl (PBE-GGA)

Data for CaTc2Cl after structural relaxation.

a b c (Å): 6.4817 6.4817 6.4817
angles (deg): 90.00 90.00 90.00
Sites, in units of the cell vectors:
Ca 0.0000 0.0000 0.0000
Ca 0.0000 0.5000 0.5000
Ca 0.5000 0.0000 0.5000
Ca 0.5000 0.5000 0.0000
Tc 0.2500 0.2500 0.2500
Tc 0.2500 0.2500 0.7500
Tc 0.2500 0.7500 0.2500
Tc 0.2500 0.7500 0.7500
Tc 0.7500 0.2500 0.2500
Tc 0.7500 0.2500 0.7500
Tc 0.7500 0.7500 0.2500
Tc 0.7500 0.7500 0.7500
Cl 0.0000 0.0000 0.5000
Cl 0.0000 0.5000 0.0000
Cl 0.5000 0.0000 0.0000
Cl 0.5000 0.5000 0.5000

Output
Its density of states at the Fermi level is 22.97 states/eV per cell. Its crystal system is cubic. As for the space-group type: Fm-3m (225).

***

## 2
## CaTc2Cl (PBE-GGA)

Data for CaTc2Cl after structural relaxation.

a b c (Å): 3.1360 3.1360 8.0933
angles (deg): 90.00 90.00 90.00
Sites, in units of the cell vectors:
Ca 0.0000 0.0000 0.0000
Tc 0.0000 0.0000 0.5624
Tc 0.5000 0.5000 0.7151
Cl 0.5000 0.5000 0.2137

Output
Its density of states at the Fermi level is 3.28 states/eV per cell. Its crystal system is tetragonal. As for the space-group type: P4mm (99).

***

Most stable to least stable, the ends of the list are 2 and 1.

***

## 1
## CaTc2Cl (PBE-GGA)

Data for CaTc2Cl after structural relaxation.

a b c (Å): 3.2830 6.1286 4.0360
angles (deg): 90.00 91.36 90.00
Sites, in units of the cell vectors:
Ca 0.0000 0.0000 0.0000
Tc 0.2878 0.5000 0.2330
Tc 0.7122 0.5000 0.7670
Cl 0.5000 0.0000 0.5000

Output
Its density of states at the Fermi level is 3.88 states/eV per cell. Its crystal system is monoclinic. As for the space-group type: P2/m (10).

***

## 2
## CaTc2Cl (PBE-GGA)

Data for CaTc2Cl after structural relaxation.

a b c (Å): 11.7738 3.4950 4.0604
angles (deg): 90.00 103.42 90.00
Sites, in units of the cell vectors:
Ca 0.0000 0.0000 0.0000
Ca 0.5000 0.5000 0.0000
Tc 0.2189 0.5000 0.8087
Tc 0.2811 0.0000 0.1913
Tc 0.7189 0.0000 0.8087
Tc 0.7811 0.5000 0.1913
Cl 0.0000 0.5000 0.5000
Cl 0.5000 0.0000 0.5000

Output
Its density of states at the Fermi level is 6.35 states/eV per cell. Its crystal system is monoclinic. As for the space-group type: C2/m (12).

***

## 3
## CaTc2Cl (PBE-GGA)

Data for CaTc2Cl after structural relaxation.

a b c (Å): 3.0673 5.0088 9.1888
angles (deg): 90.00 90.00 90.00
Sites, in units of the cell vectors:
Ca 0.0000 0.0000 0.0000
Ca 0.5000 0.5000 0.0000
Tc 0.0000 0.5000 0.2761
Tc 0.0000 0.5000 0.7239
Tc 0.5000 0.0000 0.2761
Tc 0.5000 0.0000 0.7239
Cl 0.0000 0.0000 0.5000
Cl 0.5000 0.5000 0.5000

Output
Its density of states at the Fermi level is 12.53 states/eV per cell. Its crystal system is orthorhombic. As for the space-group type: Cmmm (65).

***

Most stable to least stable, the ends of the list are 2 and 3.

***

## 1
## CaTc2Cl (PBE-GGA)

Data for CaTc2Cl after structural relaxation.

a b c (Å): 6.9501 3.9816 7.8435
angles (deg): 90.00 111.72 90.00
Sites, in units of the cell vectors:
Ca 0.0000 0.0000 0.0000
Ca 0.5000 0.5000 0.0000
Tc 0.2976 0.5000 0.3115
Tc 0.4848 0.0000 0.3594
Tc 0.7976 0.0000 0.3115
Tc 0.9848 0.5000 0.3594
Cl 0.2426 0.0000 0.7872
Cl 0.7426 0.5000 0.7872

Output
Its density of states at the Fermi level is 6.68 states/eV per cell. Its crystal system is monoclinic. As for the space-group type: Cm (8).

***

## 2
## CaTc2Cl (PBE-GGA)

Data for CaTc2Cl after structural relaxation.

a b c (Å): 3.7988 3.7988 5.4723
angles (deg): 90.00 90.00 90.00
Sites, in units of the cell vectors:
Ca 0.0000 0.0000 0.0000
Tc 0.5000 0.5000 0.3028
Tc 0.5000 0.5000 0.6972
Cl 0.0000 0.0000 0.5000

Output
Its density of states at the Fermi level is 4.58 states/eV per cell. Its crystal system is tetragonal. As for the space-group type: P4/mmm (123).

***

## 3
## CaTc2Cl (PBE-GGA)

Data for CaTc2Cl after structural relaxation.

a b c (Å): 4.9746 10.8513 2.8314
angles (deg): 90.00 90.00 90.00
Sites, in units of the cell vectors:
Ca 0.0000 0.0000 0.0000
Ca 0.5000 0.5000 0.0000
Tc 0.2500 0.2500 0.5000
Tc 0.2500 0.7500 0.5000
Tc 0.7500 0.2500 0.5000
Tc 0.7500 0.7500 0.5000
Cl 0.0000 0.5000 0.0000
Cl 0.5000 0.0000 0.0000

Output
Its density of states at the Fermi level is 9.24 states/eV per cell. Its crystal system is orthorhombic. As for the space-group type: Cmmm (65).

***

Most stable to least stable, the ends of the list are 1 and 2.

***

## 1
## CaTc2Cl (PBE-GGA)

Data for CaTc2Cl after structural relaxation.

a b c (Å): 3.5560 5.6832 8.4215
angles (deg): 90.00 90.00 90.00
Sites, in units of the cell vectors:
Ca 0.0000 0.0000 0.0000
Ca 0.5000 0.5000 0.5000
Tc 0.0000 0.0000 0.4852
Tc 0.0000 0.5000 0.1633
Tc 0.5000 0.0000 0.6633
Tc 0.5000 0.5000 0.9852
Cl 0.0000 0.5000 0.7558
Cl 0.5000 0.0000 0.2558

Output
Its density of states at the Fermi level is 7.47 states/eV per cell. Its crystal system is orthorhombic. As for the space-group type: Imm2 (44).

***

## 2
## CaTc2Cl (PBE-GGA)

Data for CaTc2Cl after structural relaxation.

a b c (Å): 5.0921 5.0921 12.9694
angles (deg): 90.00 90.00 90.00
Sites, in units of the cell vectors:
Ca 0.0000 0.0000 0.0000
Ca 0.0000 0.5000 0.5000
Ca 0.5000 0.0000 0.5000
Ca 0.5000 0.5000 0.0000
Tc 0.0000 0.2500 0.2500
Tc 0.0000 0.2500 0.7500
Tc 0.0000 0.7500 0.2500
Tc 0.0000 0.7500 0.7500
Tc 0.5000 0.2500 0.2500
Tc 0.5000 0.2500 0.7500
Tc 0.5000 0.7500 0.2500
Tc 0.5000 0.7500 0.7500
Cl 0.0000 0.0000 0.5000
Cl 0.0000 0.5000 0.0000
Cl 0.5000 0.0000 0.0000
Cl 0.5000 0.5000 0.5000

Output
Its density of states at the Fermi level is 11.45 states/eV per cell. Its crystal system is orthorhombic. As for the space-group type: Fmmm (69).

***

Most stable to least stable, the ends of the list are 2 and 1.